An optimized crystal structure of MgTa2In, computed with PBE.

Total moment   0.0000 μB/atom
Calculated volume   77 Å³/f.u.
Crystal system   monoclinic
Energy of formation   0.21 eV per atom

Cell lengths 2.954, 4.751, 5.544 Å; angles 90.00, 95.39, 90.00 degrees
Atoms (fractional coordinates):
Mg 0.000 0.000 0.000
Ta 0.448 0.000 0.476
Ta 0.609 0.500 0.214
In 0.037 0.500 0.709



An optimized crystal structure of MgTa2In, computed with PBE.

Total moment   0.0000 μB/atom
Calculated volume   80 Å³/f.u.
Crystal system   orthorhombic
Energy of formation   0.12 eV per atom

Cell lengths 2.998, 2.998, 9.495 Å; angles 90.00, 90.00, 110.15 degrees
Atoms (fractional coordinates):
Mg 0.000 0.000 0.000
Ta 0.000 0.000 0.520
Ta 0.500 0.500 0.746
In 0.500 0.500 0.263



An optimized crystal structure of MgTa2In, computed with PBE.

Total moment   0.0000 μB/atom
Calculated volume   77 Å³/f.u.
Crystal system   monoclinic
Energy of formation   0.23 eV per atom

Cell lengths 5.544, 5.544, 2.881 Å; angles 95.37, 95.37, 117.85 degrees
Atoms (fractional coordinates):
Mg 0.000 0.000 0.000
Ta 0.000 0.500 0.500
Ta 0.500 0.000 0.500
In 0.500 0.500 0.000



An optimized crystal structure of MgTaIn2, computed with PBE.

Total moment   0.0000 μB/atom
Calculated volume   82 Å³/f.u.
Crystal system   monoclinic
Energy of formation   0.15 eV per atom

Cell lengths 5.377, 5.377, 3.047 Å; angles 90.11, 90.11, 111.65 degrees
Atoms (fractional coordinates):
Mg 0.000 0.000 0.000
Ta 0.500 0.500 0.000
In 0.000 0.500 0.500
In 0.500 0.000 0.500



An optimized crystal structure of MgTa4In, computed with PBE.

Total moment   0.0000 μB/atom
Calculated volume   122 Å³/f.u.
Crystal system   cubic
Energy of formation   0.40 eV per atom

Cell lengths 5.569, 5.569, 5.569 Å; angles 60.00, 60.00, 60.00 degrees
Atoms (fractional coordinates):
Mg 0.000 0.000 0.000
Ta 0.122 0.626 0.626
Ta 0.626 0.122 0.626
Ta 0.626 0.626 0.122
Ta 0.626 0.626 0.626
In 0.250 0.250 0.250



An optimized crystal structure of MgTaIn2, computed with PBE.

Total moment   0.0000 μB/atom
Calculated volume   83 Å³/f.u.
Crystal system   orthorhombic
Energy of formation   0.17 eV per atom

Cell lengths 2.989, 5.193, 5.341 Å; angles 90.00, 90.00, 90.00 degrees
Atoms (fractional coordinates):
Mg 0.000 0.000 0.000
Ta 0.000 0.500 0.665
In 0.500 0.000 0.516
In 0.500 0.500 0.158



An optimized crystal structure of MgTa2In, computed with PBE.

Total moment   0.0001 μB/atom
Calculated volume   79 Å³/f.u.
Crystal system   trigonal
Energy of formation   0.33 eV per atom

Cell lengths 10.283, 10.283, 10.283 Å; angles 16.79, 16.79, 16.79 degrees
Atoms (fractional coordinates):
Mg 0.000 0.000 0.000
Ta 0.249 0.249 0.249
Ta 0.751 0.751 0.751
In 0.500 0.500 0.500



An optimized crystal structure of Mg2TaIn, computed with PBE.

Total moment   0.0000 μB/atom
Calculated volume   83 Å³/f.u.
Crystal system   orthorhombic
Energy of formation   0.17 eV per atom

Cell lengths 2.979, 2.979, 9.416 Å; angles 90.00, 90.00, 93.85 degrees
Atoms (fractional coordinates):
Mg 0.000 0.000 0.000
Mg 0.500 0.500 0.267
Ta 0.500 0.500 0.765
In 0.000 0.000 0.524



An optimized crystal structure of MgTaIn2, computed with PBE.

Total moment   0.0000 μB/atom
Calculated volume   82 Å³/f.u.
Crystal system   tetragonal
Energy of formation   0.17 eV per atom

Cell lengths 5.649, 5.649, 5.649 Å; angles 137.18, 137.18, 62.16 degrees
Atoms (fractional coordinates):
Mg 0.000 0.000 0.000
Ta 0.250 0.750 0.500
In 0.500 0.500 0.000
In 0.750 0.250 0.500



An optimized crystal structure of MgTa2In, computed with PBE.

Total moment   0.0000 μB/atom
Calculated volume   78 Å³/f.u.
Crystal system   orthorhombic
Energy of formation   0.28 eV per atom

Cell lengths 2.887, 2.887, 9.468 Å; angles 90.00, 90.00, 99.97 degrees
Atoms (fractional coordinates):
Mg 0.000 0.000 0.000
Ta 0.500 0.500 0.252
Ta 0.500 0.500 0.748
In 0.000 0.000 0.500



An optimized crystal structure of Mg2TaIn, computed with PBE.

Total moment   0.0000 μB/atom
Calculated volume   82 Å³/f.u.
Crystal system   monoclinic
Energy of formation   0.19 eV per atom

Cell lengths 5.584, 5.584, 5.137 Å; angles 105.92, 105.92, 32.13 degrees
Atoms (fractional coordinates):
Mg 0.246 0.246 0.237
Mg 0.754 0.754 0.763
Ta 0.500 0.500 0.000
In 0.000 0.000 0.500



An optimized crystal structure of Mg2TaIn, computed with PBE.

Total moment   0.0771 μB/atom
Calculated volume   82 Å³/f.u.
Crystal system   cubic
Energy of formation   0.41 eV per atom

Cell lengths 4.870, 4.870, 4.870 Å; angles 60.00, 60.00, 60.00 degrees
Atoms (fractional coordinates):
Mg 0.000 0.000 0.000
Mg 0.250 0.250 0.250
Ta 0.500 0.500 0.500
In 0.750 0.750 0.750



An optimized crystal structure of Mg2TaIn, computed with PBE.

Total moment   0.0000 μB/atom
Calculated volume   82 Å³/f.u.
Crystal system   orthorhombic
Energy of formation   0.20 eV per atom

Cell lengths 5.975, 5.975, 5.975 Å; angles 149.77, 129.93, 59.61 degrees
Atoms (fractional coordinates):
Mg 0.245 0.245 0.000
Mg 0.755 0.755 0.000
Ta 0.000 0.500 0.500
In 0.500 0.000 0.500



An optimized crystal structure of MgTa2In, computed with PBE.

Total moment   0.0000 μB/atom
Calculated volume   77 Å³/f.u.
Crystal system   tetragonal
Energy of formation   0.46 eV per atom

Cell lengths 3.651, 3.651, 5.783 Å; angles 90.00, 90.00, 90.00 degrees
Atoms (fractional coordinates):
Mg 0.000 0.000 0.000
Ta 0.500 0.500 0.254
Ta 0.500 0.500 0.746
In 0.000 0.000 0.500



An optimized crystal structure of MgTaIn2, computed with PBE.

Total moment   0.2534 μB/atom
Calculated volume   86 Å³/f.u.
Crystal system   cubic
Energy of formation   0.59 eV per atom

Cell lengths 4.955, 4.955, 4.955 Å; angles 60.00, 60.00, 60.00 degrees
Atoms (fractional coordinates):
Mg 0.000 0.000 0.000
Ta 0.750 0.750 0.750
In 0.250 0.250 0.250
In 0.500 0.500 0.500